[1]
# GaBAsH2 PBE-GGA relaxed
data_GaBAsH2
_symmetry_space_group_name_H-M 'P 4/m m m'
_symmetry_Int_Tables_number 123
_symmetry_space_group_name_Hall '-P 4 2'
_cell_length_a 3.529
_cell_length_b 3.529
_cell_length_c 4.425
_cell_angle_alpha 90.00
_cell_angle_beta 90.00
_cell_angle_gamma 90.00
loop_
_atom_site_label
_atom_site_fract_x
_atom_site_fract_y
_atom_site_fract_z
Ga1 0.000 0.000 0.000
B1 0.500 0.500 0.000
As1 0.500 0.500 0.500
H1 0.000 0.500 0.500
# calculated total energy	-3.544	eV/atom

=====

[2]
# MnGaBAs2 PBE-GGA relaxed
data_MnGaBAs2
_symmetry_space_group_name_H-M 'P 4/m m m'
_symmetry_Int_Tables_number 123
_symmetry_space_group_name_Hall '-P 4 2'
_cell_length_a 4.613
_cell_length_b 4.613
_cell_length_c 4.748
_cell_angle_alpha 90.00
_cell_angle_beta 90.00
_cell_angle_gamma 90.00
loop_
_atom_site_label
_atom_site_fract_x
_atom_site_fract_y
_atom_site_fract_z
Mn1 0.000 0.000 0.000
Ga1 0.000 0.000 0.500
B1 0.500 0.500 0.500
As1 0.000 0.500 0.000
# formation energy from the elements	1.02	eV/atom

=====

[3]
# GaBAs2Os PBE-GGA relaxed
data_GaBAs2Os
_symmetry_space_group_name_H-M 'P 4/m m m'
_symmetry_Int_Tables_number 123
_symmetry_space_group_name_Hall '-P 4 2'
_cell_length_a 4.934
_cell_length_b 4.934
_cell_length_c 4.025
_cell_angle_alpha 90.00
_cell_angle_beta 90.00
_cell_angle_gamma 90.00
loop_
_atom_site_label
_atom_site_fract_x
_atom_site_fract_y
_atom_site_fract_z
Ga1 0.000 0.000 0.000
B1 0.500 0.500 0.000
As1 0.000 0.500 0.500
Os1 0.500 0.500 0.500
# formation energy from the elements	0.67	eV/atom

=====

[4]
# GaBAsP2 PBE-GGA relaxed
data_GaBAsP2
_symmetry_space_group_name_H-M 'P 4/m m m'
_symmetry_Int_Tables_number 123
_symmetry_space_group_name_Hall '-P 4 2'
_cell_length_a 4.647
_cell_length_b 4.647
_cell_length_c 4.968
_cell_angle_alpha 90.00
_cell_angle_beta 90.00
_cell_angle_gamma 90.00
loop_
_atom_site_label
_atom_site_fract_x
_atom_site_fract_y
_atom_site_fract_z
Ga1 0.000 0.000 0.000
B1 0.500 0.500 0.500
As1 0.000 0.000 0.500
P1 0.000 0.500 0.000
# formation energy from the elements	1.70	eV/atom

=====

[5]
# GaB2SbAs PBE-GGA relaxed
data_GaB2SbAs
_symmetry_space_group_name_H-M 'P 4/m m m'
_symmetry_Int_Tables_number 123
_symmetry_space_group_name_Hall '-P 4 2'
_cell_length_a 4.185
_cell_length_b 4.185
_cell_length_c 5.126
_cell_angle_alpha 90.00
_cell_angle_beta 90.00
_cell_angle_gamma 90.00
loop_
_atom_site_label
_atom_site_fract_x
_atom_site_fract_y
_atom_site_fract_z
Ga1 0.000 0.000 0.000
B1 0.000 0.500 0.500
Sb1 0.500 0.500 0.000
As1 0.000 0.000 0.500
# E_form (uncorrected)	1.262	eV/atom

=====

[6]
# GaBAs2Se PBE-GGA relaxed
data_GaBAs2Se
_symmetry_space_group_name_H-M 'P 4/m m m'
_symmetry_Int_Tables_number 123
_symmetry_space_group_name_Hall '-P 4 2'
_cell_length_a 4.877
_cell_length_b 4.877
_cell_length_c 5.033
_cell_angle_alpha 90.00
_cell_angle_beta 90.00
_cell_angle_gamma 90.00
loop_
_atom_site_label
_atom_site_fract_x
_atom_site_fract_y
_atom_site_fract_z
Ga1 0.000 0.000 0.000
B1 0.500 0.500 0.500
As1 0.000 0.500 0.000
Se1 0.000 0.000 0.500
# relative energy among the computed polymorphs	781	meV per atom
# E_form (uncorrected)	1.427	eV/atom

=====

[7]
# GaBAs2Se PBE-GGA relaxed
data_GaBAs2Se
_symmetry_space_group_name_H-M 'P 4/m m m'
_symmetry_Int_Tables_number 123
_symmetry_space_group_name_Hall '-P 4 2'
_cell_length_a 4.428
_cell_length_b 4.428
_cell_length_c 4.677
_cell_angle_alpha 90.00
_cell_angle_beta 90.00
_cell_angle_gamma 90.00
loop_
_atom_site_label
_atom_site_fract_x
_atom_site_fract_y
_atom_site_fract_z
Ga1 0.000 0.000 0.000
B1 0.500 0.500 0.500
As1 0.000 0.500 0.500
Se1 0.500 0.500 0.000
# relative energy among the computed polymorphs	0	meV per atom
# E_form (uncorrected)	0.646	eV/atom

=====

[8]
# GaBTe2As PBE-GGA relaxed
data_GaBTe2As
_symmetry_space_group_name_H-M 'P 4/m m m'
_symmetry_Int_Tables_number 123
_symmetry_space_group_name_Hall '-P 4 2'
_cell_length_a 5.556
_cell_length_b 5.556
_cell_length_c 4.960
_cell_angle_alpha 90.00
_cell_angle_beta 90.00
_cell_angle_gamma 90.00
loop_
_atom_site_label
_atom_site_fract_x
_atom_site_fract_y
_atom_site_fract_z
Ga1 0.000 0.000 0.000
B1 0.500 0.500 0.000
Te1 0.000 0.500 0.500
As1 0.000 0.000 0.500
# relative energy among the computed polymorphs	342	meV per atom
# E_form (uncorrected)	1.212	eV/atom